Computed, not measured: a geometry-optimized CuNi2H4Rh structure at the PBE level of DFT.

Properties
SG   P2/m
Theoretical density   8.33 Mg/m³
M_tot   0.00 μB/atom
Crystal system   monoclinic
N(E_F)   0.349 states/eV per atom
Total DFT energy (no corrections)   -4.561 eV/atom

Lattice parameters (Å, degrees): 2.799 4.680 4.597 72.38 90.00 90.00
Fractional positions:
Ni (0.500, 0.000, 0.500)
Ni (0.000, 0.000, 0.000)
H (0.500, 0.770, 0.254)
H (0.500, 0.230, 0.746)
H (0.000, 0.791, 0.710)
H (0.000, 0.209, 0.290)
Rh (0.000, 0.500, 0.500)
Cu (0.500, 0.500, 0.000)

---

Computed, not measured: a geometry-optimized Cu2NiH4Rh structure at the PBE level of DFT.

Properties
SG   P2/m
Theoretical density   8.10 Mg/m³
M_tot   0.00 μB/atom
Crystal system   monoclinic
N(E_F)   0.348 states/eV per atom
Total DFT energy (no corrections)   -4.321 eV/atom

Lattice parameters (Å, degrees): 2.827 4.698 4.796 70.41 90.00 90.00
Fractional positions:
Cu (0.000, 0.000, 0.000)
Cu (0.500, 0.000, 0.500)
H (0.000, 0.690, 0.777)
H (0.500, 0.702, 0.256)
H (0.000, 0.310, 0.223)
H (0.500, 0.298, 0.744)
Rh (0.000, 0.500, 0.500)
Ni (0.500, 0.500, 0.000)

---

Computed, not measured: a geometry-optimized Cu2NiH6Rh structure at the PBE level of DFT.

Properties
SG   P1
Theoretical density   6.87 Mg/m³
M_tot   0.00 μB/atom
Crystal system   triclinic
N(E_F)   0.152 states/eV per atom
Total DFT energy (no corrections)   -4.076 eV/atom

Lattice parameters (Å, degrees): 4.461 4.445 4.881 90.21 117.01 120.06
Fractional positions:
H (0.864, 0.639, 0.719)
H (0.123, 0.354, 0.238)
H (0.511, 0.868, 0.722)
H (0.101, 0.231, 0.726)
H (0.483, 0.130, 0.235)
H (0.893, 0.763, 0.234)
Ni (0.996, 0.997, 0.979)
Rh (0.998, 0.498, 0.482)
Cu (0.449, 0.724, 0.160)
Cu (0.548, 0.273, 0.808)

---

Computed, not measured: a geometry-optimized CuNiH4Rh2 structure at the PBE level of DFT.

Properties
SG   Cmcm
Theoretical density   8.54 Mg/m³
M_tot   0.00 μB/atom
Crystal system   orthorhombic
N(E_F)   0.704 states/eV per atom
Total DFT energy (no corrections)   -4.696 eV/atom

Lattice parameters (Å, degrees): 2.820 5.758 8.206 90.00 90.00 104.17
Fractional positions:
H (0.778, 0.557, 0.939)
H (0.222, 0.443, 0.061)
H (0.671, 0.343, 0.250)
H (0.778, 0.557, 0.561)
H (0.222, 0.443, 0.439)
H (0.329, 0.657, 0.750)
H (0.000, 0.000, 0.000)
H (0.000, 0.000, 0.500)
Cu (0.963, 0.926, 0.250)
Cu (0.037, 0.074, 0.750)
Ni (0.270, 0.540, 0.250)
Ni (0.730, 0.460, 0.750)
Rh (0.381, 0.761, 0.537)
Rh (0.619, 0.239, 0.037)
Rh (0.381, 0.761, 0.963)
Rh (0.619, 0.239, 0.463)